No. 1
## CaBP2O (PBE)

Data for an optimized crystal structure of CaBP2O.

```
5
Lattice="3.759 0.000 0.000 0.000 3.759 0.000 0.000 0.000 5.714" Properties=species:S:1:pos:R:3 pbc="T T T"
P 0.000 1.879 0.000
P 1.879 0.000 0.000
Ca 1.879 1.879 2.857
B 0.000 0.000 0.000
O 0.000 0.000 2.857
```

## Properties
E above lowest polymorph = 0 meV per atom
E_form (uncorrected) = -0.0624 eV/atom
V = 16.15 A^3/atom

No. 2
## Pm4Nd2Sn3O2 (PBE)

Data for an optimized crystal structure of Pm4Nd2Sn3O2.

```
11
Lattice="4.791 0.000 0.000 0.000 4.791 0.000 -2.396 -2.396 12.948" Properties=species:S:1:pos:R:3 pbc="T T T"
Pm 0.000 2.396 10.814
Pm 2.396 0.000 10.814
Pm 0.000 2.396 2.133
Pm 2.396 0.000 2.133
Nd 0.000 0.000 7.911
Nd 2.396 2.396 5.037
Sn 0.000 0.000 0.000
Sn 0.000 0.000 4.586
Sn 2.396 2.396 8.361
O 0.000 0.000 10.381
O 2.396 2.396 2.567
```

## Properties
E_form (uncorrected) = -1.4921 eV/atom
V = 27.02 A^3/atom

No. 3
## Pt2PbW (PBE)

Data for an optimized crystal structure of Pt2PbW.

```
8
Lattice="-0.460 0.970 7.352 -1.667 -7.191 0.845 1.700 -3.721 4.351" Properties=species:S:1:pos:R:3 pbc="T T T"
Pb 0.000 0.000 0.000
Pb 0.088 -2.931 7.901
W -1.063 -3.110 4.098
W -0.515 -7.011 4.647
Pt -0.059 -1.248 5.596
Pt -0.686 -5.278 2.727
Pt 0.434 -5.312 6.359
Pt -0.542 -8.046 10.413
```

## Properties
Formation energy from the elements = 0.410 eV/atom
V = 19.60 A^3/atom

No. 4
## PmGaGeRh3 (PBE)

Data for an optimized crystal structure of PmGaGeRh3.

```
12
Lattice="-3.453 1.557 4.170 1.304 -4.685 2.829 5.224 6.074 2.057" Properties=species:S:1:pos:R:3 pbc="T T T"
Pm 0.863 3.361 5.167
Pm 2.211 -0.415 3.889
Ga 3.848 3.381 3.826
Ga -0.773 -0.435 5.230
Ge 0.174 1.048 1.655
Ge 2.901 1.898 7.401
Rh 2.000 2.208 2.734
Rh 0.335 -1.203 0.727
Rh -0.758 -2.703 4.188
Rh -1.392 -0.425 2.812
Rh 0.969 -3.482 2.103
Rh 1.074 0.738 6.322
```

## Properties
Formation energy from the elements = -0.510 eV/atom
V = 20.54 A^3/atom

No. 5
## Tb2ErNi9 (PBE)

Data for an optimized crystal structure of Tb2ErNi9.

```
12
Lattice="4.955 0.000 0.000 2.478 4.291 0.000 2.478 1.430 8.131" Properties=species:S:1:pos:R:3 pbc="T T T"
Tb 7.433 4.291 3.379
Tb 2.478 1.430 4.752
Er 0.000 0.000 0.000
Ni 7.433 4.291 8.124
Ni 2.478 1.430 0.007
Ni 4.955 2.861 4.066
Ni 3.714 2.144 1.988
Ni 6.196 2.144 1.988
Ni 4.955 4.294 1.988
Ni 6.196 3.577 6.143
Ni 4.955 1.428 6.143
Ni 3.714 3.577 6.143
```

## Properties
Formation energy from the elements = -0.409 eV/atom
V = 14.41 A^3/atom

No. 6
## KZr2Re (PBE)

Data for an optimized crystal structure of KZr2Re.

```
4
Lattice="3.292 0.000 0.000 0.000 3.286 0.025 0.000 3.184 10.309" Properties=species:S:1:pos:R:3 pbc="T T T"
K 1.646 1.618 2.583
Re 1.646 4.853 7.750
Zr 0.000 3.197 9.313
Zr 0.000 3.222 6.162
```

## Properties
E above lowest polymorph = 0 meV per atom
Formation energy from the elements = 0.195 eV/atom
V = 27.82 A^3/atom

No. 7
## ZrScPbBr2 (PBE)

Data for an optimized crystal structure of ZrScPbBr2.

```
5
Lattice="-2.984 -0.195 4.168 4.961 -0.633 3.523 0.319 5.099 0.467" Properties=species:S:1:pos:R:3 pbc="T T T"
Pb 2.480 -0.317 1.761
Sc 1.148 2.135 4.079
Br 0.160 2.549 0.234
Br -1.492 -0.098 2.084
Zr 0.000 0.000 0.000
```

## Properties
E_form (uncorrected) = -0.1252 eV/atom
V = 32.20 A^3/atom

No. 8
## TaCrCu2 (PBE)

Data for an optimized crystal structure of TaCrCu2.

```
4
Lattice="4.220 0.000 0.000 0.000 2.578 0.019 0.000 0.525 4.977" Properties=species:S:1:pos:R:3 pbc="T T T"
Cr 2.110 2.335 3.882
Cu 0.000 0.817 4.923
Cu 2.110 0.432 1.239
Ta 0.000 1.598 2.427
```

## Properties
E above lowest polymorph = 54 meV per atom
Formation energy from the elements = 0.241 eV/atom
V = 13.53 A^3/atom

No. 9
## FeSbSe (PBE)

Data for an optimized crystal structure of FeSbSe.

```
3
Lattice="-5.037 -4.579 1.232 -2.727 -6.348 0.330 0.515 -0.801 2.893" Properties=species:S:1:pos:R:3 pbc="T T T"
Fe -7.643 -10.779 1.582
Sb -4.666 -7.139 2.060
Se -2.704 -4.738 2.375
```

## Properties
E_form (uncorrected) = 0.0575 eV/atom
V = 20.33 A^3/atom

No. 10
## PtRh2Pb (PBE)

Data for an optimized crystal structure of PtRh2Pb.

```
4
Lattice="0.000 3.226 3.226 3.226 0.000 3.226 3.226 3.226 0.000" Properties=species:S:1:pos:R:3 pbc="T T T"
Pb 3.226 3.226 3.226
Rh 1.613 1.613 1.613
Rh 4.839 4.839 4.839
Pt 0.000 0.000 0.000
```

## Properties
E above lowest polymorph = 69 meV per atom
Formation energy from the elements = 0.052 eV/atom
V = 16.78 A^3/atom

No. 11
## Mn2Au3 (PBE)

Data for an optimized crystal structure of Mn2Au3.

```
5
Lattice="10.732 -1.532 -0.124 10.732 1.532 -0.124 10.544 0.000 2.523" Properties=species:S:1:pos:R:3 pbc="T T T"
Mn 19.229 0.000 1.367
Mn 12.779 0.000 0.908
Au 0.000 0.000 0.000
Au 25.488 0.000 1.812
Au 6.520 0.000 0.463
```

## Properties
E above lowest polymorph = 147 meV per atom
Formation energy from the elements = 0.087 eV/atom
V = 17.40 A^3/atom

No. 12
## SiSb2P (PBE)

Data for an optimized crystal structure of SiSb2P.

```
4
Lattice="3.211 0.583 0.000 -0.582 3.211 0.000 0.000 0.000 8.852" Properties=species:S:1:pos:R:3 pbc="T T T"
P 1.314 1.897 5.210
Sb 0.000 0.000 8.446
Sb 1.314 1.897 2.643
Si 0.000 0.000 5.830
```

## Properties
E above lowest polymorph = 0 meV per atom
E_form (uncorrected) = 0.0713 eV/atom
V = 23.57 A^3/atom

Number 1: total magnetic moment 0.001 μB per cell, electronic total energy -24.77 eV per formula unit. Number 2: total magnetic moment 0.000 μB per cell, electronic total energy -66.88 eV per formula unit. Number 3: total magnetic moment 0.000 μB per cell, electronic total energy -27.10 eV per formula unit. Number 4: total magnetic moment 0.000 μB per cell, electronic total energy -37.51 eV per formula unit. Number 5: total magnetic moment 1.083 μB per cell, electronic total energy -70.77 eV per formula unit. Number 6: total magnetic moment 0.000 μB per cell, electronic total energy -29.86 eV per formula unit. Number 7: total magnetic moment 0.743 μB per cell, electronic total energy -22.56 eV per formula unit. Number 8: total magnetic moment 0.000 μB per cell, electronic total energy -28.70 eV per formula unit. Number 9: total magnetic moment 1.144 μB per cell, electronic total energy -15.90 eV per formula unit. Number 10: total magnetic moment 0.000 μB per cell, electronic total energy -24.24 eV per formula unit. Number 11: total magnetic moment 8.284 μB per cell, electronic total energy -27.73 eV per formula unit. Number 12: total magnetic moment 0.000 μB per cell, electronic total energy -18.79 eV per formula unit.